# 1
# MnRe2Ag (GGA-PBE, optimized geometry)
# crystal system	tetragonal
data_MnRe2Ag
_cell_length_a 7.064
_cell_length_b 7.064
_cell_length_c 5.142
_cell_angle_alpha 90.00
_cell_angle_beta 90.00
_cell_angle_gamma 90.00
_symmetry_space_group_name_H-M 'I -4 2 d'
_symmetry_Int_Tables_number 122
_symmetry_space_group_name_Hall 'I -4 2bw'
loop_
_atom_site_label
_atom_site_type_symbol
_atom_site_fract_x
_atom_site_fract_y
_atom_site_fract_z
_atom_site_occupancy
Mn1 Mn 0.000 0.000 0.000 1
Re1 Re 0.190 0.750 0.125 1
Ag1 Ag 0.000 0.000 0.500 1

=====

# 2
# MnRe2Ag (GGA-PBE, optimized geometry)
# crystal system	cubic
data_MnRe2Ag
_cell_length_a 6.246
_cell_length_b 6.246
_cell_length_c 6.246
_cell_angle_alpha 90.00
_cell_angle_beta 90.00
_cell_angle_gamma 90.00
_symmetry_space_group_name_H-M 'F -4 3 m'
_symmetry_Int_Tables_number 216
_symmetry_space_group_name_Hall 'F -4 2 3'
loop_
_atom_site_label
_atom_site_type_symbol
_atom_site_fract_x
_atom_site_fract_y
_atom_site_fract_z
_atom_site_occupancy
Mn1 Mn 0.000 0.000 0.000 1
Re1 Re 0.000 0.000 0.500 1
Re2 Re 0.250 0.250 0.750 1
Ag1 Ag 0.250 0.250 0.250 1

=====

# 3
# MnRe2Ag (GGA-PBE, optimized geometry)
# crystal system	tetragonal
data_MnRe2Ag
_cell_length_a 3.770
_cell_length_b 3.770
_cell_length_c 8.408
_cell_angle_alpha 90.00
_cell_angle_beta 90.00
_cell_angle_gamma 90.00
_symmetry_space_group_name_H-M 'I 4/m m m'
_symmetry_Int_Tables_number 139
_symmetry_space_group_name_Hall '-I 4 2'
loop_
_atom_site_label
_atom_site_type_symbol
_atom_site_fract_x
_atom_site_fract_y
_atom_site_fract_z
_atom_site_occupancy
Mn1 Mn 0.000 0.000 0.000 1
Re1 Re 0.000 0.500 0.250 1
Ag1 Ag 0.000 0.000 0.500 1

=====

# 4
# MnRe2Ag (GGA-PBE, optimized geometry)
# crystal system	tetragonal
data_MnRe2Ag
_cell_length_a 3.148
_cell_length_b 3.148
_cell_length_c 6.107
_cell_angle_alpha 90.00
_cell_angle_beta 90.00
_cell_angle_gamma 90.00
_symmetry_space_group_name_H-M 'P 4/m m m'
_symmetry_Int_Tables_number 123
_symmetry_space_group_name_Hall '-P 4 2'
loop_
_atom_site_label
_atom_site_type_symbol
_atom_site_fract_x
_atom_site_fract_y
_atom_site_fract_z
_atom_site_occupancy
Mn1 Mn 0.000 0.000 0.000 1
Re1 Re 0.500 0.500 0.201 1
Ag1 Ag 0.000 0.000 0.500 1

=====

# 5
# MnRe2Ag (GGA-PBE, optimized geometry)
# crystal system	monoclinic
data_MnRe2Ag
_cell_length_a 9.373
_cell_length_b 2.782
_cell_length_c 4.695
_cell_angle_alpha 90.00
_cell_angle_beta 103.54
_cell_angle_gamma 90.00
_symmetry_space_group_name_H-M 'C 1 2/m 1'
_symmetry_Int_Tables_number 12
_symmetry_space_group_name_Hall '-C 2y'
loop_
_atom_site_label
_atom_site_type_symbol
_atom_site_fract_x
_atom_site_fract_y
_atom_site_fract_z
_atom_site_occupancy
Mn1 Mn 0.000 0.000 0.000 1
Re1 Re 0.235 0.500 0.235 1
Ag1 Ag 0.000 0.500 0.500 1

=====

# 6
# Mn2ReAg (GGA-PBE, optimized geometry)
# crystal system	tetragonal
data_Mn2ReAg
_cell_length_a 2.715
_cell_length_b 2.715
_cell_length_c 7.752
_cell_angle_alpha 90.00
_cell_angle_beta 90.00
_cell_angle_gamma 90.00
_symmetry_space_group_name_H-M 'P 4 m m'
_symmetry_Int_Tables_number 99
_symmetry_space_group_name_Hall 'P 4 -2'
loop_
_atom_site_label
_atom_site_type_symbol
_atom_site_fract_x
_atom_site_fract_y
_atom_site_fract_z
_atom_site_occupancy
Mn1 Mn 0.000 0.000 0.000 1
Mn2 Mn 0.500 0.500 0.212 1
Re1 Re 0.000 0.000 0.429 1
Ag1 Ag 0.500 0.500 0.723 1

=====

# 7
# MnRe2Ag (GGA-PBE, optimized geometry)
# crystal system	tetragonal
data_MnRe2Ag
_cell_length_a 2.969
_cell_length_b 2.969
_cell_length_c 7.182
_cell_angle_alpha 90.00
_cell_angle_beta 90.00
_cell_angle_gamma 90.00
_symmetry_space_group_name_H-M 'P 4 m m'
_symmetry_Int_Tables_number 99
_symmetry_space_group_name_Hall 'P 4 -2'
loop_
_atom_site_label
_atom_site_type_symbol
_atom_site_fract_x
_atom_site_fract_y
_atom_site_fract_z
_atom_site_occupancy
Mn1 Mn 0.000 0.000 0.000 1
Re1 Re 0.000 0.000 0.453 1
Re2 Re 0.500 0.500 0.244 1
Ag1 Ag 0.500 0.500 0.745 1

=====

# 8
# MnReAg4 (GGA-PBE, optimized geometry)
# crystal system	cubic
data_MnReAg4
_cell_length_a 7.550
_cell_length_b 7.550
_cell_length_c 7.550
_cell_angle_alpha 90.00
_cell_angle_beta 90.00
_cell_angle_gamma 90.00
_symmetry_space_group_name_H-M 'F -4 3 m'
_symmetry_Int_Tables_number 216
_symmetry_space_group_name_Hall 'F -4 2 3'
loop_
_atom_site_label
_atom_site_type_symbol
_atom_site_fract_x
_atom_site_fract_y
_atom_site_fract_z
_atom_site_occupancy
Mn1 Mn 0.000 0.000 0.000 1
Re1 Re 0.250 0.250 0.750 1
Ag1 Ag 0.125 0.125 0.375 1

=====

# 9
# MnRe2Ag (GGA-PBE, optimized geometry)
# crystal system	trigonal
data_MnRe2Ag
_cell_length_a 2.7325
_cell_length_b 2.7325
_cell_length_c 27.3585
_cell_angle_alpha 90.00
_cell_angle_beta 90.00
_cell_angle_gamma 120.00
_symmetry_space_group_name_H-M 'R -3 m'
_symmetry_Int_Tables_number 166
_symmetry_space_group_name_Hall '-R 3 2"'
loop_
_atom_site_label
_atom_site_type_symbol
_atom_site_fract_x
_atom_site_fract_y
_atom_site_fract_z
_atom_site_occupancy
Mn1 Mn 0.0000 0.0000 0.0000 1
Re1 Re 0.0000 0.0000 0.2590 1
Ag1 Ag 0.0000 0.0000 0.5000 1

=====

# 10
# Mn2Re2Ag (GGA-PBE, optimized geometry)
# crystal system	tetragonal
data_Mn2Re2Ag
_cell_length_a 3.973
_cell_length_b 3.973
_cell_length_c 9.794
_cell_angle_alpha 90.00
_cell_angle_beta 90.00
_cell_angle_gamma 90.00
_symmetry_space_group_name_H-M 'I 4/m m m'
_symmetry_Int_Tables_number 139
_symmetry_space_group_name_Hall '-I 4 2'
loop_
_atom_site_label
_atom_site_type_symbol
_atom_site_fract_x
_atom_site_fract_y
_atom_site_fract_z
_atom_site_occupancy
Mn1 Mn 0.000 0.000 0.112 1
Re1 Re 0.000 0.500 0.250 1
Ag1 Ag 0.000 0.000 0.500 1

=====

# 11
# Mn2ReAg (GGA-PBE, optimized geometry)
# crystal system	tetragonal
data_Mn2ReAg
_cell_length_a 6.800
_cell_length_b 6.800
_cell_length_c 5.407
_cell_angle_alpha 90.00
_cell_angle_beta 90.00
_cell_angle_gamma 90.00
_symmetry_space_group_name_H-M 'I -4 2 d'
_symmetry_Int_Tables_number 122
_symmetry_space_group_name_Hall 'I -4 2bw'
loop_
_atom_site_label
_atom_site_type_symbol
_atom_site_fract_x
_atom_site_fract_y
_atom_site_fract_z
_atom_site_occupancy
Mn1 Mn 0.217 0.250 0.125 1
Re1 Re 0.000 0.000 0.000 1
Ag1 Ag 0.000 0.000 0.500 1

=====

# 12
# MnRe2Ag (GGA-PBE, optimized geometry)
# crystal system	orthorhombic
data_MnRe2Ag
_cell_length_a 3.022
_cell_length_b 4.483
_cell_length_c 9.094
_cell_angle_alpha 90.00
_cell_angle_beta 90.00
_cell_angle_gamma 90.00
_symmetry_space_group_name_H-M 'C m m 2'
_symmetry_Int_Tables_number 35
_symmetry_space_group_name_Hall 'C 2 -2'
loop_
_atom_site_label
_atom_site_type_symbol
_atom_site_fract_x
_atom_site_fract_y
_atom_site_fract_z
_atom_site_occupancy
Mn1 Mn 0.000 0.000 0.000 1
Re1 Re 0.000 0.000 0.530 1
Re2 Re 0.000 0.500 0.771 1
Ag1 Ag 0.000 0.500 0.255 1

=====

# 13
# MnRe2Ag (GGA-PBE, optimized geometry)
# crystal system	orthorhombic
data_MnRe2Ag
_cell_length_a 2.768
_cell_length_b 3.924
_cell_length_c 5.625
_cell_angle_alpha 90.00
_cell_angle_beta 90.00
_cell_angle_gamma 90.00
_symmetry_space_group_name_H-M 'P m m 2'
_symmetry_Int_Tables_number 25
_symmetry_space_group_name_Hall 'P 2 -2'
loop_
_atom_site_label
_atom_site_type_symbol
_atom_site_fract_x
_atom_site_fract_y
_atom_site_fract_z
_atom_site_occupancy
Mn1 Mn 0.000 0.000 0.000 1
Re1 Re 0.000 0.000 0.455 1
Re2 Re 0.500 0.500 0.247 1
Ag1 Ag 0.500 0.500 0.747 1

=====

# 14
# Mn2ReAg (GGA-PBE, optimized geometry)
# crystal system	monoclinic
data_Mn2ReAg
_cell_length_a 2.827
_cell_length_b 2.846
_cell_length_c 7.413
_cell_angle_alpha 90.00
_cell_angle_beta 90.09
_cell_angle_gamma 90.00
_symmetry_space_group_name_H-M 'P 1 2/m 1'
_symmetry_Int_Tables_number 10
_symmetry_space_group_name_Hall '-P 2y'
loop_
_atom_site_label
_atom_site_type_symbol
_atom_site_fract_x
_atom_site_fract_y
_atom_site_fract_z
_atom_site_occupancy
Mn1 Mn 0.000 0.000 0.226 1
Re1 Re 0.500 0.500 0.000 1
Ag1 Ag 0.500 0.500 0.500 1

=====

# 15
# Mn2ReAg (GGA-PBE, optimized geometry)
# crystal system	monoclinic
data_Mn2ReAg
_cell_length_a 8.760
_cell_length_b 2.675
_cell_length_c 5.111
_cell_angle_alpha 90.00
_cell_angle_beta 96.19
_cell_angle_gamma 90.00
_symmetry_space_group_name_H-M 'C 1 2/m 1'
_symmetry_Int_Tables_number 12
_symmetry_space_group_name_Hall '-C 2y'
loop_
_atom_site_label
_atom_site_type_symbol
_atom_site_fract_x
_atom_site_fract_y
_atom_site_fract_z
_atom_site_occupancy
Mn1 Mn 0.249 0.000 0.226 1
Re1 Re 0.000 0.500 0.000 1
Ag1 Ag 0.000 0.000 0.500 1

=====

# 16
# Mn2ReAg (GGA-PBE, optimized geometry)
# crystal system	orthorhombic
data_Mn2ReAg
_cell_length_a 2.917
_cell_length_b 4.412
_cell_length_c 9.010
_cell_angle_alpha 90.00
_cell_angle_beta 90.00
_cell_angle_gamma 90.00
_symmetry_space_group_name_H-M 'I m m 2'
_symmetry_Int_Tables_number 44
_symmetry_space_group_name_Hall 'I 2 -2'
loop_
_atom_site_label
_atom_site_type_symbol
_atom_site_fract_x
_atom_site_fract_y
_atom_site_fract_z
_atom_site_occupancy
Mn1 Mn 0.000 0.000 0.000 1
Mn2 Mn 0.000 0.500 0.259 1
Re1 Re 0.000 0.500 0.724 1
Ag1 Ag 0.000 0.000 0.499 1

=====

# 17
# MnRe2Ag (GGA-PBE, optimized geometry)
# crystal system	cubic
data_MnRe2Ag
_cell_length_a 6.180
_cell_length_b 6.180
_cell_length_c 6.180
_cell_angle_alpha 90.00
_cell_angle_beta 90.00
_cell_angle_gamma 90.00
_symmetry_space_group_name_H-M 'F m -3 m'
_symmetry_Int_Tables_number 225
_symmetry_space_group_name_Hall '-F 4 2 3'
loop_
_atom_site_label
_atom_site_type_symbol
_atom_site_fract_x
_atom_site_fract_y
_atom_site_fract_z
_atom_site_occupancy
Mn1 Mn 0.000 0.000 0.000 1
Re1 Re 0.250 0.250 0.250 1
Ag1 Ag 0.000 0.000 0.500 1

=====

# 18
# Mn2ReAg (GGA-PBE, optimized geometry)
# crystal system	orthorhombic
data_Mn2ReAg
_cell_length_a 5.757
_cell_length_b 7.180
_cell_length_c 2.813
_cell_angle_alpha 90.00
_cell_angle_beta 90.00
_cell_angle_gamma 90.00
_symmetry_space_group_name_H-M 'C m m m'
_symmetry_Int_Tables_number 65
_symmetry_space_group_name_Hall '-C 2 2'
loop_
_atom_site_label
_atom_site_type_symbol
_atom_site_fract_x
_atom_site_fract_y
_atom_site_fract_z
_atom_site_occupancy
Mn1 Mn 0.250 0.250 0.000 1
Re1 Re 0.000 0.000 0.500 1
Ag1 Ag 0.000 0.500 0.500 1

=====

# 19
# Mn2ReAg (GGA-PBE, optimized geometry)
# crystal system	tetragonal
data_Mn2ReAg
_cell_length_a 3.959
_cell_length_b 3.959
_cell_length_c 7.132
_cell_angle_alpha 90.00
_cell_angle_beta 90.00
_cell_angle_gamma 90.00
_symmetry_space_group_name_H-M 'I 4/m m m'
_symmetry_Int_Tables_number 139
_symmetry_space_group_name_Hall '-I 4 2'
loop_
_atom_site_label
_atom_site_type_symbol
_atom_site_fract_x
_atom_site_fract_y
_atom_site_fract_z
_atom_site_occupancy
Mn1 Mn 0.000 0.500 0.250 1
Re1 Re 0.000 0.000 0.000 1
Ag1 Ag 0.000 0.000 0.500 1

=====

# 20
# Mn2ReAg (GGA-PBE, optimized geometry)
# crystal system	cubic
data_Mn2ReAg
_cell_length_a 5.989
_cell_length_b 5.989
_cell_length_c 5.989
_cell_angle_alpha 90.00
_cell_angle_beta 90.00
_cell_angle_gamma 90.00
_symmetry_space_group_name_H-M 'F m -3 m'
_symmetry_Int_Tables_number 225
_symmetry_space_group_name_Hall '-F 4 2 3'
loop_
_atom_site_label
_atom_site_type_symbol
_atom_site_fract_x
_atom_site_fract_y
_atom_site_fract_z
_atom_site_occupancy
Mn1 Mn 0.250 0.250 0.250 1
Re1 Re 0.000 0.000 0.000 1
Ag1 Ag 0.000 0.000 0.500 1

=====

Asked for calculated formation energy across the records above, the calculation gives 904; 540; 538; 532; 433; 332; 352; 840; 332; 495; 880; 368; 390; 259; 455; 469; 809; 408; 428; 575 meV per atom in order.